No. 1
## DyInPd (PBE)

Data for a geometry-optimized DyInPd structure.

```
3
Lattice="-3.305 -1.099 -0.675 0.653 -3.701 2.827 -1.695 4.024 1.747" Properties=species:S:1:pos:R:3 pbc="T T T"
Pd -1.464 1.266 1.994
Dy -2.333 -1.858 2.017
In -0.551 -0.183 -0.112
```

## Properties
Symmetry = P-6m2 (187)
Calculated total energy = -4.86 eV per atom
Formation energy from the elements = -0.683 eV/atom

=====

No. 2
## DyIn2Pd (PBE)

Data for a geometry-optimized DyIn2Pd structure.

```
4
Lattice="-1.523 2.546 3.670 -3.888 -1.941 -0.267 1.365 -3.109 2.724" Properties=species:S:1:pos:R:3 pbc="T T T"
In 0.683 -1.555 1.362
In -1.944 -0.970 -0.133
Pd -0.761 1.273 1.835
Dy -2.023 -1.252 3.063
```

## Properties
Symmetry = P4/mmm (123)
Calculated total energy = -4.31 eV per atom
Formation energy from the elements = -0.494 eV/atom

=====

No. 3
## Dy2InPd2 (PBE)

Data for a geometry-optimized Dy2InPd2 structure.

```
10
Lattice="7.787 0.000 0.000 0.000 7.787 0.000 0.000 0.000 3.661" Properties=species:S:1:pos:R:3 pbc="T T T"
Dy 6.446 5.235 1.830
Dy 5.235 1.341 1.830
Dy 2.552 6.446 1.830
Dy 1.341 2.552 1.830
In 3.894 3.894 0.000
In 0.000 0.000 0.000
Pd 6.789 2.895 0.000
Pd 0.998 4.892 0.000
Pd 4.892 6.789 0.000
Pd 2.895 0.998 0.000
```

## Properties
Symmetry = P4/mbm (127)
Calculated total energy = -5.34 eV per atom
Formation energy from the elements = -0.873 eV/atom

=====

No. 4
## Dy4InPd2 (PBE)

Data for a geometry-optimized Dy4InPd2 structure.

```
7
Lattice="-3.158 -0.108 3.648 -4.272 -2.172 -0.570 1.249 -8.872 4.010" Properties=species:S:1:pos:R:3 pbc="T T T"
Dy -2.061 -1.665 1.359
Dy -6.133 -5.103 4.117
Dy -4.120 -9.487 5.729
Dy -0.048 -6.049 2.971
Pd -1.971 -8.013 4.440
Pd -4.209 -3.140 2.648
In -3.090 -5.576 3.544
```

## Properties
Symmetry = R-3m (166)
Calculated total energy = -5.00 eV per atom
Formation energy from the elements = -0.498 eV/atom

=====

No. 5
## Dy2In2Pd7 (PBE)

Data for a geometry-optimized Dy2In2Pd7 structure.

```
11
Lattice="5.794 -0.003 -0.430 0.003 7.104 0.003 -0.791 -0.002 5.756" Properties=species:S:1:pos:R:3 pbc="T T T"
Pd 2.502 2.084 2.664
Pd 2.504 5.015 2.665
Pd 2.901 5.022 -0.212
Pd 0.000 0.000 0.000
Pd 2.106 2.077 5.541
Pd -0.394 2.079 2.881
Pd 5.400 5.020 2.448
Dy 3.823 -0.001 1.422
Dy 1.184 7.100 3.907
In 4.053 3.548 4.314
In 0.953 3.551 1.014
```

## Properties
Symmetry = Cmmm (65)
Calculated total energy = -4.95 eV per atom
Formation energy from the elements = -0.308 eV/atom

=====

No. 6
## DyInPd6 (PBE)

Data for a geometry-optimized DyInPd6 structure.

```
8
Lattice="-3.460 -1.336 -1.706 1.295 -3.852 0.390 -3.474 -0.421 7.374" Properties=species:S:1:pos:R:3 pbc="T T T"
Pd -4.356 -0.986 4.721
Pd -1.083 -2.594 -0.658
Pd -0.200 -2.029 1.995
Pd -2.820 -2.804 3.029
Pd -1.979 -2.244 5.770
Pd -2.578 -0.771 0.946
In 0.000 0.000 0.000
Dy -1.737 -0.210 3.687
```

## Properties
Symmetry = P4/mmm (123)
Calculated total energy = -5.47 eV per atom
Formation energy from the elements = -0.658 eV/atom

=====

No. 7
## DyIn2Pd3 (PBE)

Data for a geometry-optimized DyIn2Pd3 structure.

```
12
Lattice="-1.501 3.701 -2.607 -2.615 -1.542 3.679 5.651 7.268 7.062" Properties=species:S:1:pos:R:3 pbc="T T T"
Pd 0.098 3.216 4.509
Pd 1.355 1.742 1.693
Pd 2.984 6.928 8.116
Pd 4.296 5.526 5.370
Pd 1.438 6.210 3.625
Pd -1.448 2.499 0.018
Dy -0.008 4.350 1.817
Dy 1.544 5.076 6.317
In 0.000 0.000 0.000
In 2.825 3.634 3.531
In 2.833 8.005 5.369
In -1.298 1.422 2.765
```

## Properties
Symmetry = P-3m1 (164)
Calculated total energy = -4.99 eV per atom
Formation energy from the elements = -0.711 eV/atom

=====

No. 8
## Dy3In2Pd2 (PBE)

Data for a geometry-optimized Dy3In2Pd2 structure.

```
7
Lattice="3.905 0.000 0.518 0.000 3.742 0.000 0.453 0.000 11.556" Properties=species:S:1:pos:R:3 pbc="T T T"
Dy 3.395 0.000 4.359
Dy 0.963 0.000 7.715
Dy 0.000 0.000 0.000
Pd 1.327 1.871 4.974
Pd 3.031 1.871 7.100
In 2.654 1.871 9.944
In 1.704 1.871 2.130
```

## Properties
Symmetry = Cmmm (65)
Calculated total energy = -4.95 eV per atom
Formation energy from the elements = -0.716 eV/atom

=====

No. 9
## Dy5InPd2 (PBE)

Data for a geometry-optimized Dy5InPd2 structure.

```
16
Lattice="-5.779 -2.785 -4.563 5.194 -4.512 -3.826 -0.784 -1.318 8.589" Properties=species:S:1:pos:R:3 pbc="T T T"
Dy -3.393 -5.282 -3.910
Dy -1.632 -1.587 5.188
Dy 2.023 -3.333 4.110
Dy -1.454 -3.064 -0.928
Dy -0.293 -3.648 -4.194
Dy 0.000 0.000 0.000
Dy 0.263 -7.028 -4.987
Dy 2.201 -4.810 -2.005
Dy 0.084 -5.551 1.129
Dy -3.571 -3.805 2.206
Pd 2.383 -4.928 -4.984
Pd -1.714 -5.272 -6.377
Pd -2.968 -2.369 -3.404
Pd 1.128 -2.025 -2.012
In -0.538 -2.483 2.198
In -0.831 -6.131 -1.997
```

## Properties
Symmetry = I4/mcm (140)
Calculated total energy = -5.11 eV per atom
Formation energy from the elements = -0.591 eV/atom

=====

No. 10
## Dy2InPd4 (PBE)

Data for a geometry-optimized Dy2InPd4 structure.

```
7
Lattice="4.923 0.000 0.000 0.000 4.923 0.000 -2.461 -2.461 7.091" Properties=species:S:1:pos:R:3 pbc="T T T"
Pd 2.461 0.000 0.000
Pd 2.461 2.461 4.432
Pd 0.000 0.000 2.659
Pd 0.000 2.461 0.000
Dy 0.000 0.000 5.262
Dy 2.461 2.461 1.829
In 0.000 0.000 0.000
```

## Properties
Symmetry = I4/mmm (139)
Calculated total energy = -4.87 eV per atom
Formation energy from the elements = -0.196 eV/atom
Offset from the most stable computed form = 509 meV/atom

=====

No. 11
## Dy11In9Pd4 (PBE)

Data for a geometry-optimized Dy11In9Pd4 structure.

```
24
Lattice="3.673 0.000 0.000 0.000 12.182 -5.163 0.000 0.039 13.231" Properties=species:S:1:pos:R:3 pbc="T T T"
In 1.837 2.632 -0.156
In 1.837 7.710 -1.190
In 1.837 10.285 0.510
In 1.837 9.589 8.223
In 1.837 4.511 9.257
In 1.837 0.891 2.482
In 1.837 1.936 7.558
In 1.837 6.111 4.034
In 1.837 11.330 5.586
Pd 1.837 6.746 7.124
Pd 1.837 9.202 3.404
Pd 1.837 3.019 4.664
Pd 1.837 5.475 0.943
Dy 0.000 0.000 0.000
Dy 0.000 10.234 -2.213
Dy 0.000 4.556 6.389
Dy 0.000 8.459 5.584
Dy 0.000 7.180 9.255
Dy 0.000 0.889 5.103
Dy 0.000 3.762 2.483
Dy 0.000 7.665 1.678
Dy 0.000 5.041 -1.188
Dy 0.000 11.332 2.965
Dy 0.000 1.987 10.280
```

## Properties
Symmetry = Cmmm (65)
Calculated total energy = -4.68 eV per atom
Formation energy from the elements = -0.677 eV/atom

=====

No. 12
## Dy2In3Pd7 (PBE)

Data for a geometry-optimized Dy2In3Pd7 structure.

```
12
Lattice="-3.767 2.632 0.399 -0.865 -0.518 -4.748 -5.576 -8.653 4.439" Properties=species:S:1:pos:R:3 pbc="T T T"
Pd -5.750 -4.036 -0.993
Pd -2.731 0.059 0.494
Pd -5.144 -7.629 1.764
Pd -1.297 -1.542 -2.073
Pd -7.477 -6.597 -0.403
Pd 0.000 0.000 0.000
Pd -4.458 -2.503 1.084
In -1.699 -2.520 0.584
In -4.742 -6.650 -0.892
In -2.316 1.057 -2.174
Dy -6.055 -4.872 1.634
Dy -4.152 -1.666 -1.543
```

## Properties
Symmetry = Cmmm (65)
Calculated total energy = -5.03 eV per atom
Formation energy from the elements = -0.549 eV/atom